{"formula": "U3Ag2S8", "functional": "GGA-PBE", "state": "optimized geometry", "formation_energy_uncorrected_ev_per_atom": -0.98, "crystal_system": "monoclinic", "lattice_angstrom": [[6.801, 0.000, 1.059], [0.000, 7.892, 0.000], [-1.731, -3.946, 5.807]], "species": ["U", "U", "U", "Ag", "Ag", "S", "S", "S", "S", "S", "S", "S", "S"], "frac_coords": [[0.500, 0.000, 0.000], [0.000, 0.254, 0.000], [0.000, 0.746, 0.000], [0.431, 0.282, 0.565], [0.569, 0.718, 0.435], [0.882, 0.616, 0.232], [0.118, 0.384, 0.768], [0.859, 0.113, 0.227], [0.141, 0.887, 0.773], [0.647, 0.644, 0.763], [0.647, 0.119, 0.763], [0.353, 0.881, 0.237], [0.353, 0.356, 0.237]]}

=====

{"formula": "SrLa7ZnCu3O16", "functional": "GGA-PBE", "state": "optimized geometry", "formation_energy_uncorrected_ev_per_atom": -2.56, "crystal_system": "triclinic", "lattice_angstrom": [[-1.031, -3.131, -4.461], [6.354, 1.654, -2.683], [6.708, -7.142, 3.407]], "species": ["Sr", "La", "La", "La", "La", "La", "La", "La", "Zn", "Cu", "Cu", "Cu", "O", "O", "O", "O", "O", "O", "O", "O", "O", "O", "O", "O", "O", "O", "O", "O"], "frac_coords": [[0.498, 0.789, 0.931], [0.018, 0.547, 0.173], [0.515, 0.213, 0.066], [0.488, 0.289, 0.429], [0.984, 0.964, 0.321], [0.018, 0.030, 0.687], [0.512, 0.704, 0.573], [0.983, 0.461, 0.821], [0.001, 0.488, 0.496], [0.004, 0.999, 0.000], [0.500, 0.757, 0.248], [0.502, 0.247, 0.753], [0.250, 0.900, 0.135], [0.433, 0.461, 0.164], [0.943, 0.282, 0.089], [0.255, 0.653, 0.380], [0.756, 0.868, 0.126], [0.051, 0.237, 0.407], [0.567, 0.031, 0.344], [0.256, 0.387, 0.633], [0.743, 0.611, 0.366], [0.430, 0.972, 0.647], [0.943, 0.766, 0.594], [0.250, 0.145, 0.880], [0.745, 0.343, 0.619], [0.037, 0.726, 0.910], [0.562, 0.516, 0.838], [0.757, 0.114, 0.869]]}

=====

{"formula": "RbAgSbTe2", "functional": "GGA-PBE", "state": "optimized geometry", "formation_energy_uncorrected_ev_per_atom": 0.01, "crystal_system": "tetragonal", "lattice_angstrom": [[-0.667, -4.918, 2.883], [3.435, 1.969, 4.155], [-4.234, 2.055, 2.526]], "species": ["Sb", "Te", "Te", "Rb", "Ag"], "frac_coords": [[0.000, 0.000, 0.500], [0.000, 0.500, 0.000], [0.500, 0.000, 0.000], [0.500, 0.500, 0.500], [0.000, 0.000, 0.000]]}

=====

{"formula": "Cs2RuF8", "functional": "GGA-PBE", "state": "optimized geometry", "formation_energy_uncorrected_ev_per_atom": -2.05, "crystal_system": "monoclinic", "lattice_angstrom": [[-8.385, 0.165, -0.432], [4.467, -0.968, -5.456], [-0.075, -5.413, -0.608]], "species": ["Cs", "Cs", "Ru", "F", "F", "F", "F", "F", "F", "F", "F"], "frac_coords": [[0.675, 0.351, 0.774], [0.325, 0.649, 0.226], [0.000, 0.000, 0.000], [0.945, 0.211, 0.064], [0.266, 0.211, 0.064], [0.055, 0.789, 0.936], [0.566, 0.132, 0.339], [0.734, 0.789, 0.936], [0.910, 0.821, 0.346], [0.090, 0.179, 0.654], [0.434, 0.868, 0.661]]}

=====

{"formula": "Tc2OsSe", "functional": "GGA-PBE", "state": "optimized geometry", "formation_energy_uncorrected_ev_per_atom": 0.28, "crystal_system": "orthorhombic", "lattice_angstrom": [[4.012, 0.000, 0.000], [0.000, 2.849, 0.001], [0.000, 1.424, 5.208]], "species": ["Os", "Se", "Tc", "Tc"], "frac_coords": [[0.000, 0.691, 0.493], [0.500, 0.546, 0.784], [0.000, 0.948, 0.978], [0.500, 0.315, 0.245]]}

=====

{"formula": "Zn3AsPb", "functional": "GGA-PBE", "state": "optimized geometry", "delta_e_f_ev_per_atom": 0.831, "crystal_system": "cubic", "lattice_angstrom": [[-1.519, 3.513, -3.599], [-0.656, -3.866, -3.497], [-4.987, -0.561, 1.557]], "species": ["Pb", "As", "Zn", "Zn", "Zn"], "frac_coords": [[0.000, 0.000, 0.000], [0.500, 0.500, 0.500], [0.000, 0.500, 0.000], [0.000, 0.000, 0.500], [0.500, 0.000, 0.000]]}

=====

{"formula": "TmTh2Sc5", "functional": "GGA-PBE", "state": "optimized geometry", "delta_e_f_ev_per_atom": 0.401, "crystal_system": "orthorhombic", "lattice_angstrom": [[-0.371, -3.284, 4.044], [-2.386, -6.458, -2.091], [5.980, -3.934, 0.726]], "species": ["Tm", "Th", "Th", "Sc", "Sc", "Sc", "Sc", "Sc"], "frac_coords": [[0.000, 0.000, 0.000], [0.685, 0.815, 0.815], [0.315, 0.185, 0.185], [0.000, 0.500, 0.500], [0.672, 0.490, 0.167], [0.328, 0.510, 0.833], [0.328, 0.833, 0.510], [0.672, 0.167, 0.490]]}

=====

{"formula": "Ac3Pm3HoS8", "functional": "GGA-PBE", "state": "optimized geometry", "formation_energy_uncorrected_ev_per_atom": -2.05, "crystal_system": "trigonal", "lattice_angstrom": [[8.196, 0.000, 0.000], [-4.098, 7.097, -0.025], [0.000, -4.707, 6.934]], "species": ["Ac", "Ac", "Ac", "Pm", "Pm", "Pm", "Ho", "S", "S", "S", "S", "S", "S", "S", "S"], "frac_coords": [[0.000, 0.000, 0.000], [0.000, 0.500, 0.000], [0.500, 0.500, 0.000], [0.500, 0.000, 0.500], [0.500, 0.500, 0.500], [0.000, 0.500, 0.500], [0.000, 0.000, 0.500], [0.256, 0.512, 0.268], [0.744, 0.488, 0.732], [0.762, 0.525, 0.274], [0.238, 0.475, 0.726], [0.762, 0.011, 0.274], [0.238, 0.989, 0.726], [0.249, 0.011, 0.274], [0.751, 0.989, 0.726]]}

=====

{"formula": "InHgAsBr2", "functional": "GGA-PBE", "state": "optimized geometry", "formation_energy_uncorrected_ev_per_atom": 0.10, "crystal_system": "tetragonal", "lattice_angstrom": [[5.865, 0.000, 0.000], [0.000, 5.865, 0.000], [0.000, 0.000, 5.213]], "species": ["As", "Hg", "Br", "Br", "In"], "frac_coords": [[0.000, 0.000, 0.500], [0.000, 0.000, 0.000], [0.000, 0.500, 0.000], [0.500, 0.000, 0.000], [0.500, 0.500, 0.500]]}

=====

{"formula": "BaCuPb3", "functional": "GGA-PBE", "state": "optimized geometry", "delta_e_f_ev_per_atom": 1.267, "crystal_system": "cubic", "lattice_angstrom": [[-1.484, -2.537, -5.667], [4.487, -4.466, 0.824], [-4.292, -3.791, 2.821]], "species": ["Pb", "Pb", "Pb", "Ba", "Cu"], "frac_coords": [[0.000, 0.500, 0.000], [0.000, 0.000, 0.500], [0.500, 0.000, 0.000], [0.000, 0.000, 0.000], [0.500, 0.500, 0.500]]}

=====

{"formula": "Zr4AlRh", "functional": "GGA-PBE", "state": "optimized geometry", "delta_e_f_ev_per_atom": 0.225, "crystal_system": "cubic", "lattice_angstrom": [[0.000, 3.961, 3.961], [3.961, 0.000, 3.961], [3.961, 3.961, 0.000]], "species": ["Zr", "Zr", "Zr", "Zr", "Al", "Rh"], "frac_coords": [[0.875, 0.375, 0.375], [0.375, 0.375, 0.875], [0.375, 0.875, 0.375], [0.375, 0.375, 0.375], [0.750, 0.750, 0.750], [0.000, 0.000, 0.000]]}

=====

{"formula": "SrAg10Ge2", "functional": "GGA-PBE", "state": "optimized geometry", "delta_e_f_ev_per_atom": -0.029, "crystal_system": "orthorhombic", "lattice_angstrom": [[5.424, 0.000, 0.000], [2.712, 6.832, 0.000], [2.712, 0.000, 6.916]], "species": ["Sr", "Ag", "Ag", "Ag", "Ag", "Ag", "Ag", "Ag", "Ag", "Ag", "Ag", "Ge", "Ge"], "frac_coords": [[0.000, 0.000, 0.000], [0.355, 0.645, 0.645], [0.645, 0.355, 0.355], [0.000, 0.355, 0.645], [0.000, 0.645, 0.355], [0.000, 0.000, 0.500], [0.500, 0.000, 0.500], [0.280, 0.222, 0.218], [0.720, 0.778, 0.782], [0.502, 0.778, 0.218], [0.498, 0.222, 0.782], [0.000, 0.500, 0.000], [0.500, 0.500, 0.000]]}

=====

{"formula": "AgN2F2", "functional": "GGA-PBE", "state": "optimized geometry", "formation_energy_uncorrected_ev_per_atom": 1.34, "crystal_system": "tetragonal", "lattice_angstrom": [[-0.307, 4.281, -0.450], [-3.325, 0.051, 2.750], [2.650, 0.525, 3.194]], "species": ["N", "N", "Ag", "F", "F"], "frac_coords": [[0.500, 0.500, 0.500], [0.000, 0.000, 0.500], [0.000, 0.000, 0.000], [0.000, 0.500, 0.000], [0.500, 0.000, 0.000]]}

=====

{"formula": "PrNd2Ho6Er3", "functional": "GGA-PBE", "state": "optimized geometry", "delta_e_f_ev_per_atom": 0.022, "crystal_system": "monoclinic", "lattice_angstrom": [[6.173, 0.001, 0.010], [-3.084, 5.347, 0.010], [-1.046, -1.810, 11.589]], "species": ["Pr", "Nd", "Nd", "Ho", "Ho", "Ho", "Ho", "Ho", "Ho", "Er", "Er", "Er"], "frac_coords": [[0.000, 0.000, 0.000], [0.333, 0.667, 0.000], [0.667, 0.333, 0.000], [0.914, 0.581, 0.745], [0.752, 0.752, 0.255], [0.086, 0.419, 0.255], [0.581, 0.914, 0.745], [0.248, 0.248, 0.745], [0.419, 0.086, 0.255], [0.167, 0.833, 0.500], [0.833, 0.167, 0.500], [0.500, 0.500, 0.500]]}

=====

{"formula": "SnAsIN2", "functional": "GGA-PBE", "state": "optimized geometry", "formation_energy_uncorrected_ev_per_atom": 1.47, "crystal_system": "tetragonal", "lattice_angstrom": [[-2.975, 2.568, -1.260], [-2.838, -2.423, 1.762], [0.604, 3.618, 5.947]], "species": ["I", "As", "Sn", "N", "N"], "frac_coords": [[0.000, 0.000, 0.500], [0.500, 0.500, 0.500], [0.000, 0.000, 0.000], [0.000, 0.500, 0.000], [0.500, 0.000, 0.000]]}

=====

{"formula": "LiPtW2", "functional": "GGA-PBE", "state": "optimized geometry", "delta_e_f_ev_per_atom": 0.142, "crystal_system": "orthorhombic", "lattice_angstrom": [[-1.862, -3.295, 3.350], [5.020, 0.347, -0.482], [0.051, 1.901, 1.898]], "species": ["Li", "Pt", "W", "W"], "frac_coords": [[0.500, 0.000, 0.500], [0.000, 0.500, 0.500], [0.000, 0.000, 0.000], [0.500, 0.500, 0.000]]}

=====

{"formula": "NbTlSb", "functional": "GGA-PBE", "state": "optimized geometry", "formation_energy_uncorrected_ev_per_atom": 0.00, "crystal_system": "tetragonal", "lattice_angstrom": [[-3.183, 2.073, -1.622], [-0.202, -2.731, -3.093], [-6.250, -5.486, 5.252]], "species": ["Tl", "Tl", "Sb", "Sb", "Nb", "Nb"], "frac_coords": [[0.000, 0.500, 0.849], [0.500, 0.000, 0.151], [0.000, 0.500, 0.295], [0.500, 0.000, 0.705], [0.500, 0.500, 0.500], [0.000, 0.000, 0.500]]}

=====

{"formula": "Y2Tc2Pb", "functional": "GGA-PBE", "state": "optimized geometry", "delta_e_f_ev_per_atom": -0.072, "crystal_system": "tetragonal", "lattice_angstrom": [[-5.633, -4.309, 0.121], [3.001, -3.777, 5.201], [-1.996, 2.698, 3.111]], "species": ["Pb", "Pb", "Y", "Y", "Y", "Y", "Tc", "Tc", "Tc", "Tc"], "frac_coords": [[0.000, 0.000, 0.000], [0.500, 0.500, 0.000], [0.176, 0.676, 0.500], [0.676, 0.824, 0.500], [0.824, 0.324, 0.500], [0.324, 0.176, 0.500], [0.386, 0.886, 0.000], [0.886, 0.614, 0.000], [0.614, 0.114, 0.000], [0.114, 0.386, 0.000]]}

=====

{"formula": "Be2AlTc", "functional": "GGA-PBE", "state": "optimized geometry", "delta_e_f_ev_per_atom": -0.048, "crystal_system": "orthorhombic", "lattice_angstrom": [[-1.909, 3.353, 0.150], [-2.251, -1.257, -0.547], [-0.768, -0.645, 4.641]], "species": ["Be", "Be", "Tc", "Al"], "frac_coords": [[0.000, 0.750, 0.033], [0.000, 0.750, 0.467], [0.500, 0.250, 0.250], [0.500, 0.750, 0.750]]}

=====

{"formula": "BiPd6", "functional": "GGA-PBE", "state": "optimized geometry", "delta_e_f_ev_per_atom": -0.131, "crystal_system": "trigonal", "lattice_angstrom": [[-3.554, -1.627, -2.335], [0.666, -2.985, -3.373], [-1.501, -6.449, 2.339]], "species": ["Bi", "Pd", "Pd", "Pd", "Pd", "Pd", "Pd"], "frac_coords": [[0.000, 0.000, 0.000], [0.714, 0.714, 0.858], [0.433, 0.433, 0.702], [0.143, 0.143, 0.571], [0.857, 0.857, 0.429], [0.567, 0.567, 0.298], [0.286, 0.286, 0.142]]}

=====

Table of E_tot (eV per atom), in record order: -6.560, -7.165, -2.833, -4.407, -8.581, -1.605, -5.970, -6.325, -2.106, -2.162, -7.323, -3.062, -3.311, -4.601, -3.901, -8.323, -5.519, -7.546, -5.438, -5.136
Table of density (Mg/m³), in record order: 6.0, 6.7, 5.4, 3.4, 13.0, 5.5, 6.1, 6.3, 5.1, 5.2, 6.6, 8.5, 3.7, 8.3, 4.9, 15.6, 8.3, 8.4, 4.9, 12.0